Arrangement 1

Density functional theory data (SCAN) for a PBEsol-optimized structure of Mg3Pb5.

Structure (POSCAR):
```
Mg3Pb5
1.0
-5.914 5.914 3.091
5.914 -5.914 3.091
5.914 5.914 -3.091
Mg Pb
6 10
direct
0.177 0.677 0.853
0.250 0.250 0.000
0.323 0.177 0.500
0.677 0.823 0.500
0.750 0.750 0.000
0.823 0.323 0.147
0.067 0.228 0.295
0.228 0.933 0.162
0.250 0.750 0.500
0.272 0.433 0.705
0.433 0.728 0.162
0.567 0.272 0.838
0.728 0.567 0.295
0.750 0.250 0.500
0.772 0.067 0.838
0.933 0.772 0.705
```

Calculated values
Symmetry ... I4/mcm, No. 140
Crystal system ... tetragonal
Theoretical density ... 8.5 g cm⁻³

Arrangement 2

Density functional theory data (SCAN) for a PBEsol-optimized structure of Mg3Pb5.

Structure (POSCAR):
```
Mg3Pb5
1.0
4.545 -4.932 0.000
4.545 4.932 0.000
0.000 0.000 4.775
Mg Pb
3 5
direct
0.000 0.000 0.000
0.258 0.742 0.500
0.742 0.258 0.500
0.000 0.500 0.000
0.228 0.228 0.500
0.500 0.000 0.000
0.500 0.500 0.000
0.772 0.772 0.500
```

Calculated values
Symmetry ... Cmmm, No. 65
Crystal system ... orthorhombic
Theoretical density ... 8.6 g cm⁻³

Verdict on stability: arrangement 2 comes out on top.